Density functional theory data (PBE) for crystalline Tb6Nd2Er3 at its relaxed geometry.

Results
SG: I4/mmm
M_tot: 0.0 μB/f.u.
ΔE_f: 0.28 eV per atom
Final energy: -48.0 eV/cell

Unit cell a=4.737 b=4.737 c=17.002 alpha=98.01 beta=98.01 gamma=90.00
Element x y z (fractional)
Tb  0.122  0.622  0.245
Tb  0.622  0.122  0.245
Tb  0.878  0.378  0.755
Tb  0.378  0.878  0.755
Tb  0.697  0.697  0.394
Tb  0.303  0.303  0.606
Nd  0.454  0.454  0.908
Nd  0.546  0.546  0.092
Er  0.000  0.000  0.000
Er  0.799  0.799  0.599
Er  0.201  0.201  0.401